# 1
PBE Pm3Er2Te5, relaxed; volume = 303 Å³/cell; uncorrected formation energy = -1.334 eV/atom; Fermi-level density of states = 4.7 states/eV per cell; magnetization = 0.000 μB/cell
1.0
-0.572 3.669 -2.349
-6.804 2.842 1.986
5.537 6.585 4.827
Pm Er Te
3 2 5
Direct
0.500 0.500 0.500
0.902 0.890 0.307
0.098 0.110 0.693
0.304 0.292 0.099
0.696 0.708 0.901
0.000 0.000 0.000
0.206 0.198 0.390
0.794 0.802 0.610
0.614 0.585 0.188
0.386 0.415 0.812


# 2
PBE PmEr2Te, relaxed; volume = 118 Å³/cell; uncorrected formation energy = -0.535 eV/atom; Fermi-level density of states = 5.3 states/eV per cell; magnetization = 0.000 μB/cell
1.0
-3.382 -1.819 -0.147
1.011 -2.125 3.038
-3.162 5.485 4.887
Pm Te Er
1 1 2
Direct
0.500 0.500 0.000
0.500 0.500 0.500
0.000 0.000 0.721
0.000 0.000 0.279


# 3
PBE PmEr5Te4, relaxed; volume = 314 Å³/cell; uncorrected formation energy = -0.869 eV/atom; Fermi-level density of states = 8.6 states/eV per cell; magnetization = 0.000 μB/cell
1.0
-2.990 1.209 2.615
0.395 -7.544 3.941
7.543 4.478 3.258
Pm Er Te
1 5 4
Direct
0.500 0.000 0.000
0.808 0.643 0.616
0.840 0.219 0.680
0.160 0.781 0.320
0.500 0.500 0.000
0.192 0.357 0.384
0.328 0.935 0.656
0.984 0.734 0.968
0.672 0.065 0.344
0.016 0.266 0.032


# 4
PBE Pm5ErTe4, relaxed; volume = 705 Å³/cell; uncorrected formation energy = -0.860 eV/atom; Fermi-level density of states = 15.8 states/eV per cell; magnetization = 0.000 μB/cell
1.0
-5.850 1.662 4.645
-1.062 -8.973 1.874
6.331 0.852 7.668
Pm Er Te
10 2 8
Direct
0.248 0.701 0.805
0.248 0.299 0.805
0.862 0.500 0.000
0.248 0.701 0.195
0.248 0.299 0.195
0.752 0.799 0.305
0.752 0.201 0.305
0.138 0.000 0.500
0.752 0.201 0.695
0.752 0.799 0.695
0.789 0.000 0.000
0.211 0.500 0.500
0.065 0.000 0.797
0.569 0.736 0.000
0.569 0.264 0.000
0.065 0.000 0.203
0.935 0.500 0.297
0.431 0.764 0.500
0.431 0.236 0.500
0.935 0.500 0.703


# 5
PBE PmEr8Te2, relaxed; volume = 381 Å³/cell; uncorrected formation energy = -0.149 eV/atom; Fermi-level density of states = 13.4 states/eV per cell; magnetization = 0.001 μB/cell
1.0
3.820 0.266 0.221
0.106 10.435 1.401
0.106 3.285 10.003
Pm Er Te
1 8 2
Direct
0.000 0.000 0.000
0.777 0.173 0.655
0.223 0.345 0.827
0.857 0.273 0.273
0.143 0.727 0.727
0.777 0.655 0.173
0.223 0.827 0.345
0.279 0.431 0.431
0.721 0.569 0.569
0.428 0.140 0.140
0.572 0.860 0.860


# 6
PBE PmErTe2, relaxed; volume = 305 Å³/cell; uncorrected formation energy = -0.946 eV/atom; Fermi-level density of states = 3.9 states/eV per cell; magnetization = 0.000 μB/cell
1.0
-1.681 -1.348 3.960
6.408 -0.574 2.529
-0.356 9.316 3.021
Pm Er Te
2 2 4
Direct
0.201 0.944 0.194
0.701 0.444 0.022
0.201 0.788 0.780
0.701 0.288 0.436
0.701 0.662 0.290
0.701 0.539 0.695
0.201 0.039 0.521
0.201 0.162 0.926


Number 3 is which compound?
PmEr5Te4